{
  "formula": "AlCu2Cl",
  "functional": "PBE",
  "state": "optimized geometry",
  "m_tot_mub_per_atom": 0.00,
  "sg": "F-43m",
  "de_polymorph_mev_per_atom": 657.6,
  "n_ef_per_ev_cell": 1.6,
  "e_form_raw_ev_per_atom": 0.4703,
  "total_energy_ev_per_atom": -2.98,
  "cell": [[0.0000, 3.2260, 3.2260], [3.2260, 0.0000, 3.2260], [3.2260, 3.2260, 0.0000]],
  "species": ["Al", "Cu", "Cu", "Cl"],
  "fractional_positions": [[0.0000, 0.0000, 0.0000], [0.5000, 0.5000, 0.5000], [0.7500, 0.7500, 0.7500], [0.2500, 0.2500, 0.2500]]
}